# 1
Below is a crystal of ZnCd2BiS relaxed with PBEsol, with properties calculated at the SCAN level.

Cell: 4.8793 4.8793 5.3013 Å, 90.00 90.00 90.00°
Last column: nearest neighbours and their distance in Å.
Positions (direct):
S 0.5000 0.5000 0.5000  4 Bi 3.45, 8 Cd 3.60
Zn 0.0000 0.0000 0.0000  4 Cd 2.44, 2 Bi 2.65
Bi 0.0000 0.0000 0.5000  2 Zn 2.65
Cd 0.0000 0.5000 0.0000  2 Zn 2.44
Cd 0.5000 0.0000 0.0000  2 Zn 2.44

Computed properties:
V: 126.2 Å³/f.u.
Formation energy (no corrections): 8.41 kcal/mol of atoms

***

# 2
Below is a crystal of CdBiW2Se relaxed with PBEsol, with properties calculated at the SCAN level.

Cell: 5.1598 5.1598 5.3819 Å, 90.00 90.00 90.00°
Last column: nearest neighbours and their distance in Å.
Positions (direct):
Se 0.0000 0.0000 0.5000  2 Bi 2.69
Bi 0.0000 0.0000 0.0000  4 W 2.58, 2 Se 2.69
W 0.0000 0.5000 0.0000  2 Bi 2.58
W 0.5000 0.0000 0.0000  2 Bi 2.58
Cd 0.5000 0.5000 0.5000  4 Se 3.65, 8 W 3.73

Computed properties:
V: 143.3 Å³/f.u.
Formation energy (no corrections): 59.85 kcal/mol of atoms

***

# 3
Below is a crystal of CdSiBi3 relaxed with PBEsol, with properties calculated at the SCAN level.

Cell: 5.3863 5.3863 5.3863 Å, 90.00 90.00 90.00°
Last column: nearest neighbours and their distance in Å.
Positions (direct):
Si 0.0000 0.0000 0.0000  6 Bi 2.69
Bi 0.0000 0.5000 0.0000  2 Si 2.69
Bi 0.0000 0.0000 0.5000  2 Si 2.69
Bi 0.5000 0.0000 0.0000  2 Si 2.69
Cd 0.5000 0.5000 0.5000  12 Bi 3.81

Computed properties:
V: 156.3 Å³/f.u.
Formation energy (no corrections): 16.39 kcal/mol of atoms

***

# 4
Below is a crystal of Cd2SiBi relaxed with PBEsol, with properties calculated at the SCAN level.

Cell: 4.1849 4.1849 11.2222 Å, 100.75 100.75 90.00°
Last column: nearest neighbours and their distance in Å.
Positions (direct):
Si 0.7500 0.2500 0.5000  4 Bi 2.96, 4 Cd 3.06
Si 0.5000 0.5000 0.0000  4 Bi 2.96, 4 Cd 3.06
Bi 0.2500 0.7500 0.5000  4 Si 2.96, 4 Cd 3.11
Bi 0.0000 0.0000 0.0000  4 Si 2.96, 4 Cd 3.11
Cd 0.3904 0.8750 0.2500  4 Cd 2.87-3.05, 2 Si 3.06, 2 Bi 3.11
Cd 0.8596 0.3750 0.2500  4 Cd 2.87-3.05, 2 Si 3.06, 2 Bi 3.11
Cd 0.1250 0.1404 0.7500  4 Cd 2.87-3.05, 2 Si 3.06, 2 Bi 3.11
Cd 0.6250 0.6096 0.7500  4 Cd 2.87-3.05, 2 Si 3.06, 2 Bi 3.11

Computed properties:
V: 94.8 Å³/f.u.
Formation energy (no corrections): 8.62 kcal/mol of atoms

***

# 5
Below is a crystal of CdSn2Bi relaxed with PBEsol, with properties calculated at the SCAN level.

Cell: 5.3216 5.3216 5.3216 Å, 60.00 60.00 60.00°
Last column: nearest neighbours and their distance in Å.
Positions (direct):
Cd 0.0000 0.0000 0.0000  8 Sn 3.26
Bi 0.5000 0.5000 0.5000  8 Sn 3.26
Sn 0.2500 0.2500 0.2500  4 Bi 3.26, 4 Cd 3.26
Sn 0.7500 0.7500 0.7500  4 Cd 3.26, 4 Bi 3.26

Computed properties:
V: 106.6 Å³/f.u.
Formation energy: 209 meV/atom

***

# 6
Below is a crystal of Ti2CdSnBi relaxed with PBEsol, with properties calculated at the SCAN level.

Cell: 5.0366 5.0366 5.3904 Å, 90.00 90.00 90.00°
Last column: nearest neighbours and their distance in Å.
Positions (direct):
Cd 0.0000 0.0000 0.0000  4 Ti 2.52, 2 Bi 2.70
Ti 0.0000 0.5000 0.0000  2 Cd 2.52
Ti 0.5000 0.0000 0.0000  2 Cd 2.52
Bi 0.0000 0.0000 0.5000  2 Cd 2.70
Sn 0.5000 0.5000 0.5000  4 Bi 3.56, 8 Ti 3.69

Computed properties:
V: 136.7 Å³/f.u.
Formation energy: 993 meV/atom

***

# 7
Below is a crystal of Sr9Cd4Bi9 relaxed with PBEsol, with properties calculated at the SCAN level.

Cell: 4.8911 13.1247 23.1717 Å, 90.00 90.00 90.00°
Last column: nearest neighbours and their distance in Å.
Positions (direct):
Sr 0.0000 0.3711 0.6345  5 Bi 3.38-3.51, 4 Cd 3.43-3.70
Sr 0.0000 0.5698 0.9116  5 Bi 3.32-3.46, 2 Cd 3.40
Sr 0.0000 0.6289 0.3655  5 Bi 3.38-3.51, 4 Cd 3.43-3.70
Sr 0.0000 0.4302 0.0884  5 Bi 3.32-3.46, 2 Cd 3.40
Sr 0.0000 0.1289 0.1345  5 Bi 3.38-3.51, 4 Cd 3.43-3.70
Sr 0.0000 0.8711 0.8655  5 Bi 3.38-3.51, 4 Cd 3.43-3.70
Sr 0.5000 0.5000 0.5000  6 Bi 3.42-3.49, 2 Cd 3.67
Sr 0.5000 0.0000 0.0000  6 Bi 3.42-3.49, 2 Cd 3.67
Sr 0.5000 0.7031 0.1038  6 Bi 3.40-3.59, 1 Cd 3.45
Sr 0.5000 0.2969 0.8962  6 Bi 3.40-3.59, 1 Cd 3.45
Sr 0.5000 0.2031 0.3962  6 Bi 3.40-3.59, 1 Cd 3.45
Sr 0.5000 0.7969 0.6038  6 Bi 3.40-3.59, 1 Cd 3.45
Sr 0.0000 0.8705 0.2355  6 Bi 3.39-3.57
Sr 0.0000 0.1295 0.7645  6 Bi 3.39-3.57
Sr 0.0000 0.3705 0.2645  6 Bi 3.39-3.57
Sr 0.0000 0.6295 0.7355  6 Bi 3.39-3.57
Sr 0.0000 0.9302 0.4116  5 Bi 3.32-3.46, 2 Cd 3.40
Sr 0.0000 0.0698 0.5884  5 Bi 3.32-3.46, 2 Cd 3.40
Cd 0.5000 0.7318 0.9558  4 Bi 2.93-3.21
Cd 0.5000 0.2682 0.0442  4 Bi 2.93-3.21
Cd 0.5000 0.2318 0.5442  4 Bi 2.93-3.21
Cd 0.5000 0.7682 0.4558  4 Bi 2.93-3.21
Cd 0.5000 0.6110 0.2625  4 Bi 2.92-3.05
Cd 0.5000 0.1110 0.2375  4 Bi 2.92-3.05
Cd 0.5000 0.3890 0.7375  4 Bi 2.92-3.05
Cd 0.5000 0.8890 0.7625  4 Bi 2.92-3.05
Bi 0.5000 0.8091 0.3316  2 Cd 2.93-3.05
Bi 0.5000 0.1909 0.6684  2 Cd 2.93-3.05
Bi 0.5000 0.3091 0.1684  2 Cd 2.93-3.05
Bi 0.5000 0.6909 0.8316  2 Cd 2.93-3.05
Bi 0.5000 0.9520 0.1452  1 Cd 2.99
Bi 0.5000 0.0480 0.8548  1 Cd 2.99
Bi 0.5000 0.4520 0.3548  1 Cd 2.99
Bi 0.5000 0.5480 0.6452  1 Cd 2.99
Bi 0.0000 0.6119 0.1935  2 Cd 2.92
Bi 0.0000 0.3881 0.8065  2 Cd 2.92
Bi 0.0000 0.1119 0.3065  2 Cd 2.92
Bi 0.0000 0.8881 0.6935  2 Cd 2.92
Bi 0.0000 0.8116 0.0132  2 Cd 2.97
Bi 0.0000 0.1884 0.9868  2 Cd 2.97
Bi 0.0000 0.3116 0.4868  2 Cd 2.97
Bi 0.0000 0.6884 0.5132  2 Cd 2.97
Bi 0.5000 0.0000 0.5000  2 Cd 3.21, 6 Sr 3.32-3.59
Bi 0.5000 0.5000 0.0000  2 Cd 3.21, 6 Sr 3.32-3.59

Computed properties:
V: 743.7 Å³/f.u.
Formation energy: -832 meV/atom

***

# 8
Below is a crystal of SrCd2Bi2 relaxed with PBEsol, with properties calculated at the SCAN level.

Cell: 4.4846 4.4846 8.1296 Å, 106.01 106.01 90.00°
Last column: nearest neighbours and their distance in Å.
Positions (direct):
Sr 0.0000 0.0000 0.0000  8 Bi 3.60
Bi 0.3856 0.3856 0.7713  4 Cd 3.03
Bi 0.6144 0.6144 0.2287  4 Cd 3.03
Cd 0.2500 0.7500 0.5000  4 Bi 3.03, 4 Cd 3.17
Cd 0.7500 0.2500 0.5000  4 Bi 3.03, 4 Cd 3.17

Computed properties:
V: 150.5 Å³/f.u.
Formation energy: -392 meV/atom

***

Taking the records one at a time from the top gives total moment values of 0.000 1.222 0.000 0.000 0.000 0.588 0.000 0.000 μB per atom.